1.
# PBE ReIrAu, relaxed
data_ReIrAu
_chemical_formula_sum 'Re1 Ir1 Au1'
_cell_length_a 6.289
_cell_length_b 6.289
_cell_length_c 6.289
_cell_angle_alpha 154.08
_cell_angle_beta 154.08
_cell_angle_gamma 36.98
_symmetry_space_group_name_H-M 'P 1'
_symmetry_Int_Tables_number 1
loop_
_symmetry_equiv_pos_as_xyz
'x,y,z'
loop_
_atom_site_label
_atom_site_type_symbol
_atom_site_fract_x
_atom_site_fract_y
_atom_site_fract_z
_atom_site_occupancy
Re1 Re 0.000 0.000 0.000 1
Ir1 Ir 0.642 0.642 0.000 1
Au1 Au 0.325 0.325 0.000 1
# ρ ... 20.1 Mg/m³
# Magnetization ... 0.00 μB per formula unit
# Space-group type ... I4mm, No. 107
# Total energy ... -8.0594 eV/atom
# ΔE_f ... 0.14 eV per atom
# Energy above the most stable polymorph in this dataset ... 0 meV/atom

=====

2.
# PBE SmBe3Si3, relaxed
data_SmBe3Si3
_chemical_formula_sum 'Sm2 Be6 Si6'
_cell_length_a 6.145
_cell_length_b 6.145
_cell_length_c 6.145
_cell_angle_alpha 90.00
_cell_angle_beta 90.00
_cell_angle_gamma 90.00
_symmetry_space_group_name_H-M 'P 1'
_symmetry_Int_Tables_number 1
loop_
_symmetry_equiv_pos_as_xyz
'x,y,z'
loop_
_atom_site_label
_atom_site_type_symbol
_atom_site_fract_x
_atom_site_fract_y
_atom_site_fract_z
_atom_site_occupancy
Sm1 Sm 0.000 0.000 0.000 1
Sm2 Sm 0.500 0.500 0.500 1
Be1 Be 0.000 0.250 0.500 1
Be2 Be 0.000 0.750 0.500 1
Be3 Be 0.250 0.500 0.000 1
Be4 Be 0.500 0.000 0.250 1
Be5 Be 0.500 0.000 0.750 1
Be6 Be 0.750 0.500 0.000 1
Si1 Si 0.000 0.500 0.250 1
Si2 Si 0.000 0.500 0.750 1
Si3 Si 0.250 0.000 0.500 1
Si4 Si 0.500 0.250 0.000 1
Si5 Si 0.500 0.750 0.000 1
Si6 Si 0.750 0.000 0.500 1
# ρ ... 3.7 Mg/m³
# Magnetization ... 0.00 μB per formula unit
# Space-group type ... Pm-3n, No. 223
# Total energy ... -4.4323 eV/atom
# Uncorrected formation energy ... 163 meV/atom

=====

3.
# PBE MnBeRe2H, relaxed
data_MnBeRe2H
_chemical_formula_sum 'Mn1 Be1 Re2 H1'
_cell_length_a 4.058
_cell_length_b 4.058
_cell_length_c 3.196
_cell_angle_alpha 90.00
_cell_angle_beta 90.00
_cell_angle_gamma 90.00
_symmetry_space_group_name_H-M 'P 1'
_symmetry_Int_Tables_number 1
loop_
_symmetry_equiv_pos_as_xyz
'x,y,z'
loop_
_atom_site_label
_atom_site_type_symbol
_atom_site_fract_x
_atom_site_fract_y
_atom_site_fract_z
_atom_site_occupancy
Mn1 Mn 0.000 0.000 0.000 1
Be1 Be 0.500 0.500 0.000 1
Re1 Re 0.000 0.500 0.500 1
Re2 Re 0.500 0.000 0.500 1
H1 H 0.500 0.500 0.500 1
# ρ ... 13.8 Mg/m³
# Magnetization ... 2.12 μB per formula unit
# Space-group type ... P4/mmm, No. 123
# Total energy ... -8.0125 eV/atom

=====

4.
# PBE Pm8Nd3Y3, relaxed
data_Pm8Nd3Y3
_chemical_formula_sum 'Pm8 Nd3 Y3'
_cell_length_a 9.848
_cell_length_b 9.848
_cell_length_c 9.848
_cell_angle_alpha 146.00
_cell_angle_beta 112.12
_cell_angle_gamma 78.14
_symmetry_space_group_name_H-M 'P 1'
_symmetry_Int_Tables_number 1
loop_
_symmetry_equiv_pos_as_xyz
'x,y,z'
loop_
_atom_site_label
_atom_site_type_symbol
_atom_site_fract_x
_atom_site_fract_y
_atom_site_fract_z
_atom_site_occupancy
Pm1 Pm 0.058 0.397 0.661 1
Pm2 Pm 0.063 0.222 0.841 1
Pm3 Pm 0.264 0.603 0.661 1
Pm4 Pm 0.382 0.222 0.159 1
Pm5 Pm 0.618 0.778 0.841 1
Pm6 Pm 0.736 0.397 0.339 1
Pm7 Pm 0.937 0.778 0.159 1
Pm8 Pm 0.942 0.603 0.339 1
Nd1 Nd 0.318 0.818 0.500 1
Nd2 Nd 0.500 0.500 0.000 1
Nd3 Nd 0.682 0.182 0.500 1
Y1 Y 0.000 0.000 0.000 1
Y2 Y 0.300 0.000 0.300 1
Y3 Y 0.700 0.000 0.700 1
# ρ ... 6.4 Mg/m³
# Magnetization ... 0.00 μB per formula unit
# Space-group type ... Immm, No. 71
# Total energy ... -5.0229 eV/atom
# ΔE_f ... 0.10 eV per atom

=====

5.
# PBE PIr2Pb, relaxed
data_PIr2Pb
_chemical_formula_sum 'P1 Ir2 Pb1'
_cell_length_a 3.395
_cell_length_b 3.395
_cell_length_c 6.156
_cell_angle_alpha 90.00
_cell_angle_beta 90.00
_cell_angle_gamma 90.00
_symmetry_space_group_name_H-M 'P 1'
_symmetry_Int_Tables_number 1
loop_
_symmetry_equiv_pos_as_xyz
'x,y,z'
loop_
_atom_site_label
_atom_site_type_symbol
_atom_site_fract_x
_atom_site_fract_y
_atom_site_fract_z
_atom_site_occupancy
P1 P 0.000 0.000 0.000 1
Ir1 Ir 0.000 0.000 0.627 1
Ir2 Ir 0.500 0.500 0.917 1
Pb1 Pb 0.500 0.500 0.383 1
# ρ ... 14.6 Mg/m³
# Magnetization ... 0.00 μB per formula unit
# Space-group type ... P4mm, No. 99
# Total energy ... -6.5390 eV/atom
# ΔE_f ... 0.17 eV per atom
# Energy above the most stable polymorph in this dataset ... 227 meV/atom